1.
A plane-wave DFT calculation with GGA-PBEsol was carried out for Mg3Ag2 after structural relaxation.

The structure in CIF format:
```
data_Mg3Ag2
_cell_length_a 3.0446
_cell_length_b 3.0446
_cell_length_c 35.3634
_cell_angle_alpha 90.00
_cell_angle_beta 90.00
_cell_angle_gamma 120.00
_space_group_name_H-M_alt 'R -3 m'
_space_group_IT_number 166
_space_group_name_Hall '-R 3 2"'
loop_
_atom_site_label
_atom_site_type_symbol
_atom_site_fract_x
_atom_site_fract_y
_atom_site_fract_z
_atom_site_occupancy
Mg1 Mg 0.0000 0.0000 0.0000 1
Mg2 Mg 0.0000 0.0000 0.2044 1
Ag1 Ag 0.0000 0.0000 0.3978 1
```

Properties
Energy above the lowest structure with this stoichiometry, eV/f.u.: 0.394
Calculated formation energy, eV per atom: -0.08
DFT total energy, eV/cell: -36.6
DOS(E_F), states/eV/f.u.: 1.7

---

2.
A plane-wave DFT calculation with GGA-PBEsol was carried out for MnGa after structural relaxation.

The structure in CIF format:
```
data_MnGa
_cell_length_a 2.669
_cell_length_b 2.669
_cell_length_c 3.570
_cell_angle_alpha 90.00
_cell_angle_beta 90.00
_cell_angle_gamma 90.00
_space_group_name_H-M_alt 'P 4/m m m'
_space_group_IT_number 123
_space_group_name_Hall '-P 4 2'
loop_
_atom_site_label
_atom_site_type_symbol
_atom_site_fract_x
_atom_site_fract_y
_atom_site_fract_z
_atom_site_occupancy
Mn1 Mn 0.000 0.000 0.000 1
Ga1 Ga 0.500 0.500 0.500 1
```

Properties
Calculated formation energy, eV per atom: -0.11
DFT total energy, eV/cell: -13.3
DOS(E_F), states/eV/f.u.: 1.0